VASP calculation (PBE) on crystalline PrGd2Mn at its relaxed geometry.

Output
Magnetization in μB per cell: 12.51
Space group: Fm-3m, No. 225
ΔE_f in eV/atom: 0.259

Lattice parameters (Å, degrees): 5.3982 5.3982 5.4017 60.02 60.02 60.00
Each line ends with the local moment (μB).
Element x y z (fractional)
Gd (0.7498, 0.7498, 0.7506)  7.44
Gd (0.2502, 0.2502, 0.2494)  7.44
Mn (0.0000, 0.0000, 0.0000)  -3.79
Pr (0.5000, 0.5000, 0.5000)  0.56

---

VASP calculation (PBE) on crystalline InW2Br at its relaxed geometry.

Output
Magnetization in μB per cell: 0.00
Space group: I-42d, No. 122
Raw formation energy in meV/atom: 1217

Lattice parameters (Å, degrees): 4.0253 4.0253 10.8157 79.28 79.28 90.00
Element x y z (fractional)
Br (0.2500, 0.7500, 0.5000)
Br (0.5000, 0.5000, 0.0000)
W (0.0708, 0.6250, 0.2500)
W (0.3750, 0.3208, 0.7500)
W (0.8750, 0.9292, 0.7500)
W (0.6792, 0.1250, 0.2500)
In (0.7500, 0.2500, 0.5000)
In (0.0000, 0.0000, 0.0000)

---

VASP calculation (PBE) on crystalline Pa4SiAs2S at its relaxed geometry.

Output
Magnetization in μB per cell: 0.00
Space group: P2/m, No. 10
Raw formation energy in meV/atom: -1043

Lattice parameters (Å, degrees): 4.0566 7.0448 6.9489 70.40 90.00 90.00
Element x y z (fractional)
Pa (0.0000, 0.7379, 0.7574)
Pa (0.5000, 0.2595, 0.7497)
Pa (0.5000, 0.7405, 0.2503)
Pa (0.0000, 0.2621, 0.2426)
As (0.0000, 0.0000, 0.0000)
As (0.5000, 0.0000, 0.5000)
Si (0.0000, 0.5000, 0.5000)
S (0.5000, 0.5000, 0.0000)

---

VASP calculation (PBE) on crystalline KUBi2O8 at its relaxed geometry.

Output
Magnetization in μB per cell: 0.00
Space group: P2/m, No. 10
Raw formation energy in meV/atom: -1677

Lattice parameters (Å, degrees): 5.3058 5.2995 6.9808 90.00 90.00 87.10
Element x y z (fractional)
O (0.3087, 0.3081, 0.0000)
O (0.8048, 0.1957, 0.2003)
O (0.1952, 0.8043, 0.7997)
O (0.6913, 0.6919, 0.0000)
O (0.8048, 0.1957, 0.7997)
O (0.6705, 0.6721, 0.5001)
O (0.1952, 0.8043, 0.2003)
O (0.3295, 0.3279, 0.4999)
U (0.0000, 0.0000, 0.0000)
K (0.0000, 0.0000, 0.5000)
Bi (0.5000, 0.5001, 0.2498)
Bi (0.5000, 0.4999, 0.7502)

---

VASP calculation (PBE) on crystalline SrNi2Pd2 at its relaxed geometry.

Output
Magnetization in μB per cell: 0.38
Space group: I4/mmm, No. 139
ΔE_f in eV/atom: -0.034

Lattice parameters (Å, degrees): 4.2558 4.2558 6.0094 69.26 69.26 90.00
Each line ends with the local moment (μB).
Element x y z (fractional)
Ni (0.2500, 0.7500, 0.5000)  0.17
Ni (0.7500, 0.2500, 0.5000)  0.17
Pd (0.6256, 0.6256, 0.7487)  0.05
Pd (0.3744, 0.3744, 0.2513)  0.05
Sr (0.0000, 0.0000, 0.0000)  -0.01

---

VASP calculation (PBE) on crystalline SmScTl at its relaxed geometry.

Output
Magnetization in μB per cell: 0.00
Space group: P6_3/mmc, No. 194
ΔE_f in eV/atom: -0.266

Lattice parameters (Å, degrees): 5.2458 5.2458 6.7213 90.00 90.00 119.99
Element x y z (fractional)
Tl (0.6668, 0.8332, 0.2500)
Tl (0.3332, 0.1668, 0.7500)
Sc (0.3334, 0.1666, 0.2500)
Sc (0.6666, 0.8334, 0.7500)
Sm (0.0000, 0.5000, 0.0000)
Sm (0.0000, 0.5000, 0.5000)

---

VASP calculation (PBE) on crystalline NiAg2Os at its relaxed geometry.

Output
Magnetization in μB per cell: 0.92
Space group: P4/mmm, No. 123
ΔE_f in eV/atom: 0.643

Lattice parameters (Å, degrees): 2.6773 2.6773 8.4751 90.00 90.00 90.00
Each line ends with the local moment (μB).
Element x y z (fractional)
Ni (0.5000, 0.5000, 0.2500)  0.48
Os (0.5000, 0.5000, 0.7500)  0.40
Ag (0.0000, 0.0000, 0.0153)  0.01
Ag (0.0000, 0.0000, 0.4847)  0.01

---

VASP calculation (PBE) on crystalline AcPm2Y5Ho at its relaxed geometry.

Output
Magnetization in μB per cell: 0.00
Space group: I4/mcm, No. 140
ΔE_f in eV/atom: 0.267

Lattice parameters (Å, degrees): 8.7869 8.7869 10.0798 115.84 115.84 90.00
Element x y z (fractional)
Ac (0.2500, 0.7500, 0.5000)
Ac (0.7500, 0.2500, 0.5000)
Pm (0.3845, 0.8845, 0.0000)
Pm (0.6155, 0.1155, 0.0000)
Pm (0.8845, 0.6155, 0.0000)
Pm (0.1155, 0.3845, 0.0000)
Y (0.5779, 0.6547, 0.7326)
Y (0.0000, 0.0000, 0.0000)
Y (0.9221, 0.4221, 0.2674)
Y (0.8453, 0.9221, 0.2674)
Y (0.5000, 0.5000, 0.0000)
Y (0.0779, 0.5779, 0.7326)
Y (0.4221, 0.3453, 0.2674)
Y (0.3453, 0.8453, 0.2674)
Y (0.6547, 0.1547, 0.7326)
Y (0.1547, 0.0779, 0.7326)
Ho (0.2500, 0.2500, 0.5000)
Ho (0.7500, 0.7500, 0.5000)

---

VASP calculation (PBE) on crystalline Ce5In2Sn at its relaxed geometry.

Output
Magnetization in μB per cell: 9.37
Space group: I4/mcm, No. 140
ΔE_f in eV/atom: -0.333

Lattice parameters (Å, degrees): 8.5434 8.5434 8.7386 119.26 119.26 90.00
Each line ends with the local moment (μB).
Element x y z (fractional)
Ce (0.9958, 0.4958, 0.3373)  0.78
Ce (0.0042, 0.5042, 0.6627)  0.78
Ce (0.4958, 0.3415, 0.3373)  0.78
Ce (0.6585, 0.1585, 0.6627)  0.78
Ce (0.8415, 0.9958, 0.3373)  0.78
Ce (0.3415, 0.8415, 0.3373)  0.78
Ce (0.0000, 0.0000, 0.0000)  0.80
Ce (0.5000, 0.5000, 0.0000)  0.80
Ce (0.5042, 0.6585, 0.6627)  0.78
Ce (0.1585, 0.0042, 0.6627)  0.78
Sn (0.2500, 0.2500, 0.5000)  -0.03
Sn (0.7500, 0.7500, 0.5000)  -0.03
In (0.8738, 0.6262, 0.0000)  -0.01
In (0.1262, 0.3738, 0.0000)  -0.01
In (0.3738, 0.8738, 0.0000)  -0.01
In (0.6262, 0.1262, 0.0000)  -0.01

---

VASP calculation (PBE) on crystalline V2ReMo4 at its relaxed geometry.

Output
Magnetization in μB per cell: 0.00
Space group: Cmmm, No. 65
ΔE_f in eV/atom: 0.269

Lattice parameters (Å, degrees): 5.3166 5.3166 8.5263 90.00 90.00 110.36
Element x y z (fractional)
V (0.7463, 0.2537, 0.0000)
V (0.2537, 0.7463, 0.5000)
V (0.7463, 0.2537, 0.5000)
V (0.2537, 0.7463, 0.0000)
Mo (0.7670, 0.7670, 0.0000)
Mo (0.0000, 0.5000, 0.2500)
Mo (0.5000, 0.0000, 0.2500)
Mo (0.2330, 0.2330, 0.0000)
Mo (0.5000, 0.0000, 0.7500)
Mo (0.2330, 0.2330, 0.5000)
Mo (0.0000, 0.5000, 0.7500)
Mo (0.7670, 0.7670, 0.5000)
Re (0.5000, 0.5000, 0.2500)
Re (0.5000, 0.5000, 0.7500)

---

VASP calculation (PBE) on crystalline LiZr2Tl at its relaxed geometry.

Output
Magnetization in μB per cell: 0.00
Space group: P4/mmm, No. 123
ΔE_f in eV/atom: -0.022

Lattice parameters (Å, degrees): 4.5058 4.3058 4.3058 90.00 90.00 90.00
Element x y z (fractional)
Zr (0.0000, 0.0000, 0.0000)
Zr (0.0000, 0.5000, 0.5000)
Li (0.5000, 0.5000, 0.0000)
Tl (0.5000, 0.0000, 0.5000)

---

VASP calculation (PBE) on crystalline Mg2SiPt at its relaxed geometry.

Output
Magnetization in μB per cell: 0.00
Space group: Cm, No. 8
Raw formation energy in meV/atom: -456

Lattice parameters (Å, degrees): 5.2645 5.2645 4.8027 72.09 72.09 32.82
Element x y z (fractional)
Mg (0.7748, 0.7748, 0.6937)
Mg (0.9769, 0.9769, 0.0540)
Pt (0.5300, 0.5300, 0.5294)
Si (0.2183, 0.2183, 0.2229)